Record 1
An optimized crystal structure of ThGaPt. Source: the Alexandria database, functional PBE.

Unit cell a=3.898 b=3.898 c=5.297 alpha=111.59 beta=111.59 gamma=90.00
Sites, in units of the cell vectors:
Pt  0.266  0.266  0.533
Ga  0.956  0.956  0.911
Th  0.628  0.628  0.256

Results
Calculated formation energy: -614 meV per atom
Magnetic moment: 0.000 μB/cell


Record 2
An optimized crystal structure of TlNi2Pt. Source: the Alexandria database, functional PBE.

Unit cell a=4.376 b=4.376 c=4.376 alpha=60.00 beta=60.00 gamma=60.00
Sites, in units of the cell vectors:
Ni  0.750  0.750  0.750
Ni  0.250  0.250  0.250
Tl  0.500  0.500  0.500
Pt  0.000  0.000  0.000

Results
ΔE to the lowest computed polymorph: 0.000 eV per atom
Calculated formation energy: 96 meV per atom
Magnetic moment: 0.000 μB/cell